Below is an optimized crystal structure of Ho6Te5, with properties calculated at the PBE level.

Structure (CIF):
```
data_Ho6Te5
_chemical_formula_sum 'Ho6 Te5'
_cell_length_a 7.379
_cell_length_b 7.379
_cell_length_c 7.370
_cell_angle_alpha 100.00
_cell_angle_beta 100.00
_cell_angle_gamma 119.84
_symmetry_space_group_name_H-M 'P 1'
_symmetry_Int_Tables_number 1
_symmetry_space_group_name_Hall 'P 1'
loop_
_atom_site_label
_atom_site_fract_x
_atom_site_fract_y
_atom_site_fract_z
Ho1 0.068 0.367 0.221
Ho2 0.222 0.222 0.741
Ho3 0.367 0.068 0.221
Ho4 0.633 0.932 0.779
Ho5 0.778 0.778 0.259
Ho6 0.932 0.633 0.779
Te1 0.187 0.813 0.500
Te2 0.340 0.660 0.000
Te3 0.500 0.500 0.500
Te4 0.660 0.340 0.000
Te5 0.813 0.187 0.500
```

Summary:
Its final energy is -5.010 eV per atom. As for the density of states at the Fermi level: 0.7521 states/eV per atom. The value obtained for the energy relative to the elements, uncorrected is -1.0846 eV/atom. Its space group is C2/m.